The following is a DFT calculation (PBE-GGA) of crystalline Ba2SrNiHg at its relaxed geometry.

Values from the calculation:
- formation energy (meV/atom) = -15
- electronic total energy (eV for the cell shown) = -11.687

a = 6.0739 Å, b = 6.0739 Å, c = 5.2660 Å
α = 90.00°, β = 90.00°, γ = 90.00°
Last column: nearest neighbours and their distance in Å.
Space group P4/mmm (No. 123)
Asymmetric unit:
Ba1 0.0000 0.5000 0.0000 (multiplicity 2)  2 Ni 3.04
Sr1 0.0000 0.0000 0.5000 (multiplicity 1)  8 Ba 4.02, 4 Hg 4.29
Ni1 0.5000 0.5000 0.0000 (multiplicity 1)  2 Hg 2.63
Hg1 0.5000 0.5000 0.5000 (multiplicity 1)  2 Ni 2.63

---

The following is a DFT calculation (PBE-GGA) of crystalline Ba2NiHgTe at its relaxed geometry.

Values from the calculation:
- electronic total energy (eV for the cell shown) = -16.483
- uncorrected formation energy (eV per atom) = -0.682

a = 5.8813 Å, b = 5.8813 Å, c = 4.9754 Å
α = 90.00°, β = 90.00°, γ = 90.00°
Last column: nearest neighbours and their distance in Å.
Space group P4/mmm (No. 123)
Asymmetric unit:
Ba1 0.0000 0.5000 0.0000 (multiplicity 2)  2 Ni 2.94
Ni1 0.0000 0.0000 0.0000 (multiplicity 1)  2 Hg 2.49
Hg1 0.0000 0.0000 0.5000 (multiplicity 1)  2 Ni 2.49
Te1 0.5000 0.5000 0.5000 (multiplicity 1)  8 Ba 3.85, 4 Hg 4.16

---

The following is a DFT calculation (PBE-GGA) of crystalline BaNiHgTe2 at its relaxed geometry.

Values from the calculation:
- electronic total energy (eV for the cell shown) = -17.335
- uncorrected formation energy (eV per atom) = -0.609

a = 5.3683 Å, b = 5.3683 Å, c = 5.0558 Å
α = 90.00°, β = 90.00°, γ = 90.00°
Last column: nearest neighbours and their distance in Å.
Space group P4/mmm (No. 123)
Asymmetric unit:
Ba1 0.0000 0.0000 0.0000 (multiplicity 1)  8 Te 3.69, 4 Hg 3.80
Ni1 0.5000 0.5000 0.5000 (multiplicity 1)  2 Hg 2.53, 4 Te 2.68
Hg1 0.5000 0.5000 0.0000 (multiplicity 1)  2 Ni 2.53
Te1 0.0000 0.5000 0.5000 (multiplicity 2)  2 Ni 2.68

---

The following is a DFT calculation (PBE-GGA) of crystalline BaTl2NiHg at its relaxed geometry.

Values from the calculation:
- formation energy (meV/atom) = -177
- electronic total energy (eV for the cell shown) = -13.625

a = 5.1847 Å, b = 5.1847 Å, c = 5.2411 Å
α = 90.00°, β = 90.00°, γ = 90.00°
Last column: nearest neighbours and their distance in Å.
Space group P4/mmm (No. 123)
Asymmetric unit:
Ba1 0.0000 0.0000 0.0000 (multiplicity 1)  4 Hg 3.67, 8 Tl 3.69
Tl1 0.0000 0.5000 0.5000 (multiplicity 2)  2 Ni 2.59
Ni1 0.5000 0.5000 0.5000 (multiplicity 1)  4 Tl 2.59, 2 Hg 2.62
Hg1 0.5000 0.5000 0.0000 (multiplicity 1)  2 Ni 2.62